Entry from the Alexandria database: an optimized crystal structure of MgZr4Mn (PBE).

Summary:
E_tot   -7.0406 eV per atom
Calculated formation energy   0.452 eV/atom

a b c (Å): 5.790 5.790 5.790
angles (deg): 60.00 60.00 60.00
Last column: magnetic moment on the atom in μB.
Fractional coordinates of all 6 atoms:
1 Mg 0.750 0.750 0.750  -0.01
2 Zr 0.877 0.374 0.374  -0.05
3 Zr 0.374 0.374 0.877  -0.05
4 Zr 0.374 0.877 0.374  -0.05
5 Zr 0.374 0.374 0.374  -0.05
6 Mn 0.000 0.000 0.000  3.95


Entry from the Alexandria database: an optimized crystal structure of MgZr2Mn (PBE).

Summary:
E_tot   -6.7955 eV per atom
Calculated formation energy   0.170 eV/atom

a b c (Å): 5.425 5.425 5.425
angles (deg): 134.49 134.49 66.33
Last column: magnetic moment on the atom in μB.
Fractional coordinates of all 4 atoms:
1 Mg 0.500 0.500 0.000  -0.01
2 Mn 0.750 0.250 0.500  3.23
3 Zr 0.000 0.000 0.000  -0.27
4 Zr 0.250 0.750 0.500  -0.32


Entry from the Alexandria database: an optimized crystal structure of MgZrMn (PBE).

Summary:
E_tot   -6.2057 eV per atom
Calculated formation energy   0.232 eV/atom

a b c (Å): 4.730 4.730 2.983
angles (deg): 90.00 90.00 120.00
Last column: magnetic moment on the atom in μB.
Fractional coordinates of all 3 atoms:
1 Mg 0.000 0.000 0.168  -0.01
2 Mn 0.667 0.333 0.165  3.43
3 Zr 0.333 0.667 0.667  -0.25


Entry from the Alexandria database: an optimized crystal structure of Mg14ZrMn (PBE).

Summary:
E_tot   -2.4361 eV per atom
Calculated formation energy   0.067 eV/atom

a b c (Å): 6.371 6.371 10.063
angles (deg): 90.00 90.00 120.00
Last column: magnetic moment on the atom in μB.
Fractional coordinates of all 16 atoms:
1 Mg 0.997 0.499 0.000  -0.01
2 Mg 0.009 0.504 0.500  0.00
3 Mg 0.501 0.003 0.000  -0.01
4 Mg 0.496 0.991 0.500  0.00
5 Mg 0.501 0.499 0.000  -0.01
6 Mg 0.496 0.504 0.500  0.00
7 Mg 0.162 0.838 0.246  -0.01
8 Mg 0.162 0.838 0.754  -0.01
9 Mg 0.162 0.323 0.246  -0.01
10 Mg 0.162 0.323 0.754  -0.01
11 Mg 0.677 0.838 0.246  -0.01
12 Mg 0.677 0.838 0.754  -0.01
13 Mg 0.667 0.333 0.258  0.00
14 Mg 0.667 0.333 0.742  0.00
15 Zr 0.000 0.000 0.500  0.21
16 Mn 0.000 0.000 0.000  3.79


Entry from the Alexandria database: an optimized crystal structure of MgZr2Mn (PBE).

Summary:
E_tot   -6.8284 eV per atom
Calculated formation energy   0.137 eV/atom

a b c (Å): 4.697 4.697 3.461
angles (deg): 90.01 90.01 90.00
Last column: magnetic moment on the atom in μB.
Fractional coordinates of all 4 atoms:
1 Mg 0.500 0.000 0.500  -0.01
2 Mn 0.000 0.500 0.500  2.02
3 Zr 0.000 0.000 0.000  -0.36
4 Zr 0.500 0.500 0.000  -0.36


Entry from the Alexandria database: an optimized crystal structure of MgZrMn2 (PBE).

Summary:
E_tot   -6.9032 eV per atom
Calculated formation energy   0.217 eV/atom

a b c (Å): 5.250 5.250 4.845
angles (deg): 73.77 73.77 33.15
Last column: magnetic moment on the atom in μB.
Fractional coordinates of all 4 atoms:
1 Mg 0.267 0.267 0.197  -0.03
2 Mn 0.016 0.016 0.030  2.98
3 Mn 0.731 0.731 0.724  3.08
4 Zr 0.486 0.486 0.549  -0.54


Entry from the Alexandria database: an optimized crystal structure of MgZrMn2 (PBE).

Summary:
E_tot   -6.7988 eV per atom
Calculated formation energy   0.322 eV/atom

a b c (Å): 4.864 4.864 5.185
angles (deg): 78.48 78.48 36.36
Last column: magnetic moment on the atom in μB.
Fractional coordinates of all 4 atoms:
1 Mg 0.250 0.250 0.250  -0.03
2 Mn 0.998 0.998 0.994  3.22
3 Mn 0.502 0.502 0.506  3.22
4 Zr 0.750 0.750 0.750  -0.55


Entry from the Alexandria database: an optimized crystal structure of MgZrMn2 (PBE).

Summary:
E_tot   -6.7800 eV per atom
Calculated formation energy   0.340 eV/atom

a b c (Å): 9.414 9.414 9.414
angles (deg): 18.57 18.57 18.57
Last column: magnetic moment on the atom in μB.
Fractional coordinates of all 4 atoms:
1 Mg 0.250 0.250 0.250  -0.03
2 Mn 0.001 0.001 0.001  3.38
3 Mn 0.499 0.499 0.499  3.38
4 Zr 0.750 0.750 0.750  -0.37


Entry from the Alexandria database: an optimized crystal structure of MgZr2Mn (PBE).

Summary:
E_tot   -6.7750 eV per atom
Calculated formation energy   0.190 eV/atom

a b c (Å): 10.083 10.083 10.083
angles (deg): 17.78 17.78 17.78
Last column: magnetic moment on the atom in μB.
Fractional coordinates of all 4 atoms:
1 Mg 0.507 0.507 0.507  -0.02
2 Mn 0.252 0.252 0.252  3.37
3 Zr 0.993 0.993 0.993  -0.21
4 Zr 0.749 0.749 0.749  -0.06


Entry from the Alexandria database: an optimized crystal structure of Mg2ZrMn2 (PBE).

Summary:
E_tot   -5.7274 eV per atom
Calculated formation energy   0.288 eV/atom

a b c (Å): 7.591 7.591 3.171
angles (deg): 90.00 90.00 90.00
Last column: magnetic moment on the atom in μB.
Fractional coordinates of all 10 atoms:
1 Mg 0.157 0.657 0.500  -0.02
2 Mg 0.657 0.843 0.500  -0.02
3 Mg 0.843 0.343 0.500  -0.02
4 Mg 0.343 0.157 0.500  -0.02
5 Mn 0.361 0.861 0.000  3.24
6 Mn 0.861 0.639 0.000  3.21
7 Mn 0.639 0.139 0.000  3.23
8 Mn 0.139 0.361 0.000  3.22
9 Zr 0.000 0.000 0.000  -0.69
10 Zr 0.500 0.500 0.000  -0.69


Entry from the Alexandria database: an optimized crystal structure of MgZr2Mn (PBE).

Summary:
E_tot   -6.7458 eV per atom
Calculated formation energy   0.219 eV/atom

a b c (Å): 4.838 4.838 4.838
angles (deg): 60.00 60.00 60.00
Last column: magnetic moment on the atom in μB.
Fractional coordinates of all 4 atoms:
1 Mg 0.500 0.500 0.500  -0.01
2 Mn 0.750 0.750 0.750  3.16
3 Zr 0.000 0.000 0.000  -0.85
4 Zr 0.250 0.250 0.250  -0.93


Entry from the Alexandria database: an optimized crystal structure of Mg5Mo (PBE).

Summary:
E_tot   -2.8295 eV per atom
Calculated formation energy   0.304 eV/atom

a b c (Å): 5.373 5.373 4.905
angles (deg): 90.00 90.00 120.00
Last column: magnetic moment on the atom in μB.
Fractional coordinates of all 6 atoms:
1 Mg 0.684 0.000 0.000  0.00
2 Mg 0.316 0.316 0.000  0.00
3 Mg 0.000 0.684 0.000  0.00
4 Mg 0.667 0.333 0.500  -0.01
5 Mg 0.333 0.667 0.500  -0.01
6 Mo 0.000 0.000 0.500  1.50


Entry from the Alexandria database: an optimized crystal structure of MgMo3 (PBE).

Summary:
E_tot   -8.2786 eV per atom
Calculated formation energy   0.243 eV/atom

a b c (Å): 5.352 5.352 5.352
angles (deg): 117.26 117.26 117.26
Fractional coordinates of all 4 atoms:
1 Mg 0.500 0.000 0.500
2 Mo 0.000 0.000 0.000
3 Mo 0.000 0.500 0.500
4 Mo 0.500 0.500 0.000


Entry from the Alexandria database: an optimized crystal structure of MgMo (PBE).

Summary:
E_tot   -5.9162 eV per atom
Calculated formation energy   0.297 eV/atom

a b c (Å): 5.362 5.362 5.362
angles (deg): 143.86 126.34 66.41
Fractional coordinates of all 4 atoms:
1 Mg 0.492 0.492 0.000
2 Mg 0.758 0.258 0.500
3 Mo 0.026 0.026 0.000
4 Mo 0.224 0.724 0.500


no.,total magnetic moment (μB/f.u.)
1,3.87
2,2.51
3,3.17
4,4.14
5,1.01
6,5.41
7,5.81
8,6.41
9,3.04
10,5.51
11,0.79
12,1.83
13,0.00
14,0.00